Below is a relaxed structure of RbLiNd2Br8, with properties calculated at the GGA-PBE level.

POSCAR file:
```
RbLiNd2Br8
1.0
-6.2393 0.1223 3.7772
1.9687 -4.4881 5.2141
3.0679 6.9708 4.8426
Br Nd Rb Li
8 2 1 1
Direct
0.8253 0.2335 0.2091
0.8253 0.2334 0.7909
0.3461 0.2903 0.0000
0.1747 0.7666 0.2091
0.1747 0.7665 0.7909
0.6412 0.6987 0.4999
0.3588 0.3013 0.5001
0.6539 0.7097 0.0000
0.5001 0.5000 0.7591
0.4999 0.5000 0.2409
0.0000 0.0000 0.5000
0.0000 0.0000 0.0000
```

VASP energy   -3.91 eV per atom
Space group   P2/m, No. 10
Formation energy from raw total energies   -1.7582 eV/atom